VASP calculation (SCAN) on a PBEsol-optimized structure of LiTaWO6. Values from VASP.

Output
**Distance to the lowest polymorph of the same formula**: 0.32 eV per formula unit
**Formation energy (no corrections)**: -2492 meV/atom

Structure (Quantum ESPRESSO input):
```
&SYSTEM
  ibrav = 0, nat = 18, ntyp = 4
/
ATOMIC_SPECIES
Li 6.94 Li.upf
Ta 180.95 Ta.upf
W 183.84 W.upf
O 16.00 O.upf
CELL_PARAMETERS angstrom
-3.635 3.661 5.156
3.635 -3.661 5.156
3.635 3.661 -5.156
ATOMIC_POSITIONS angstrom
Li 0.000 0.000 0.000
Li 0.000 3.661 0.000
Ta -1.817 1.830 2.578
Ta 1.817 1.830 2.578
W 3.635 0.000 0.000
W 0.000 0.000 5.156
O 2.274 0.445 1.255
O 4.995 0.445 1.255
O 3.635 1.830 -0.568
O 0.000 1.830 1.802
O 2.274 4.106 -1.255
O 1.361 0.445 3.902
O 2.274 3.216 1.255
O 1.361 -0.445 6.411
O 3.635 1.830 3.354
O 0.000 1.830 5.724
O -1.361 3.216 3.902
O 1.361 3.216 3.902
```

=====

VASP calculation (SCAN) on a PBEsol-optimized structure of MoAsHBr2. Values from VASP.

Output
**VASP energy**: -18.557 eV/atom

Structure (Quantum ESPRESSO input):
```
&SYSTEM
  ibrav = 0, nat = 5, ntyp = 4
/
ATOMIC_SPECIES
Mo 95.94 Mo.upf
As 74.92 As.upf
H 1.01 H.upf
Br 79.90 Br.upf
CELL_PARAMETERS angstrom
4.860 0.000 0.000
0.000 4.860 0.000
0.000 0.000 3.436
ATOMIC_POSITIONS angstrom
Mo 0.000 0.000 0.000
As 2.430 2.430 0.000
H 2.430 2.430 1.718
Br 0.000 2.430 1.718
Br 2.430 0.000 1.718
```

=====

VASP calculation (SCAN) on a PBEsol-optimized structure of MgCd2In. Values from VASP.

Output
**VASP energy**: -24.872 eV/atom

Structure (Quantum ESPRESSO input):
```
&SYSTEM
  ibrav = 0, nat = 4, ntyp = 3
/
ATOMIC_SPECIES
Mg 24.30 Mg.upf
Cd 112.41 Cd.upf
In 114.82 In.upf
CELL_PARAMETERS angstrom
-2.225 2.225 4.400
2.225 -2.225 4.400
2.225 2.225 -4.400
ATOMIC_POSITIONS angstrom
Mg 0.000 0.000 0.000
Cd 2.225 0.000 2.200
Cd 0.000 2.225 2.200
In 0.000 0.000 4.400
```

=====

VASP calculation (SCAN) on a PBEsol-optimized structure of NiIr5. Values from VASP.

Output
**Distance to the lowest polymorph of the same formula**: 0.03 eV per formula unit

Structure (Quantum ESPRESSO input):
```
&SYSTEM
  ibrav = 0, nat = 6, ntyp = 2
/
ATOMIC_SPECIES
Ni 58.69 Ni.upf
Ir 192.22 Ir.upf
CELL_PARAMETERS angstrom
4.339 0.000 0.000
0.000 1.356 6.940
0.000 -1.356 6.940
ATOMIC_POSITIONS angstrom
Ni 0.000 0.000 0.000
Ir 0.000 0.000 4.680
Ir 0.000 0.000 9.228
Ir 2.169 0.000 3.077
Ir 2.169 0.000 7.696
Ir 2.169 0.000 12.403
```